Entry from Alexandria: an optimized crystal structure of ZrAlCu4 (GGA-PBE).

Unit cell a=2.7367 b=7.5697 c=8.3073 alpha=90.00 beta=90.00 gamma=90.00
Closest atoms and distances in Å follow each position.
Fractional positions:
Cu 0.0000 0.0000 0.0000  2 Al 2.45, 10 Cu 2.64-2.74
Cu 0.0000 0.0000 0.5000  2 Al 2.45, 10 Cu 2.64-2.74
Cu 0.5000 0.1177 0.2500  2 Al 2.58, 8 Cu 2.64-2.74, 2 Zr 2.86
Cu 0.5000 0.8823 0.7500  2 Al 2.58, 8 Cu 2.64-2.74, 2 Zr 2.86
Cu 0.5000 0.3062 0.9791  2 Al 2.56, 5 Cu 2.66-2.74, 2 Zr 2.85
Cu 0.5000 0.3062 0.5209  2 Al 2.56, 5 Cu 2.66-2.74, 2 Zr 2.85
Cu 0.5000 0.6938 0.0209  2 Al 2.56, 5 Cu 2.66-2.74, 2 Zr 2.85
Cu 0.5000 0.6938 0.4791  2 Al 2.56, 5 Cu 2.66-2.74, 2 Zr 2.85
Zr 0.0000 0.4498 0.2500  2 Zr 2.74, 10 Cu 2.85-2.98, 1 Al 2.87
Zr 0.0000 0.5502 0.7500  2 Zr 2.74, 10 Cu 2.85-2.98, 1 Al 2.87
Al 0.0000 0.8288 0.2500  8 Cu 2.45-2.58, 2 Al 2.74
Al 0.0000 0.1712 0.7500  8 Cu 2.45-2.58, 2 Al 2.74

Properties
The energy relative to the elements is -0.10 eV/atom. The total DFT energy (no corrections) is -4.877 eV/atom.